[1]
# CaZnGa GGA-PBE optimized geometry
data_CaZnGa
_space_group_name_H-M_alt 'P 1'
_space_group_IT_number 1
_cell_length_a 3.4676
_cell_length_b 3.4676
_cell_length_c 5.9764
_cell_angle_alpha 106.86
_cell_angle_beta 106.86
_cell_angle_gamma 90.00
loop_
_space_group_symop_operation_xyz
'x,y,z'
loop_
_atom_site_label
_atom_site_type_symbol
_atom_site_fract_x
_atom_site_fract_y
_atom_site_fract_z
Ca1 Ca 0.9977 0.9977 0.9953
Ga1 Ga 0.6916 0.6916 0.3832
Zn1 Zn 0.3107 0.3107 0.6215
# total DFT energy (no corrections)	-7.055	eV for the cell shown
# formation energy	-0.251	eV/atom

[2]
# Hf2ThRhN4 GGA-PBE optimized geometry
data_Hf2ThRhN4
_space_group_name_H-M_alt 'P 1'
_space_group_IT_number 1
_cell_length_a 3.2819
_cell_length_b 5.8804
_cell_length_c 11.3036
_cell_angle_alpha 90.00
_cell_angle_beta 90.00
_cell_angle_gamma 106.20
loop_
_space_group_symop_operation_xyz
'x,y,z'
loop_
_atom_site_label
_atom_site_type_symbol
_atom_site_fract_x
_atom_site_fract_y
_atom_site_fract_z
N1 N 0.2763 0.5525 0.3914
N2 N 0.7237 0.4475 0.8914
N3 N 0.4609 0.9218 0.7500
N4 N 0.0000 0.0000 0.5000
N5 N 0.2763 0.5525 0.1086
N6 N 0.5391 0.0782 0.2500
N7 N 0.7237 0.4475 0.6086
N8 N 0.0000 0.0000 0.0000
Hf1 Hf 0.6297 0.2594 0.0534
Hf2 Hf 0.3703 0.7406 0.9466
Hf3 Hf 0.3703 0.7406 0.5534
Hf4 Hf 0.6297 0.2594 0.4466
Rh1 Rh 0.8494 0.6988 0.7500
Rh2 Rh 0.1506 0.3012 0.2500
Th1 Th 0.8871 0.7742 0.2500
Th2 Th 0.1129 0.2258 0.7500
# total DFT energy (no corrections)	-155.882	eV for the cell shown
# raw formation energy	-1.2452	eV/atom

[3]
# KLiHgS GGA-PBE optimized geometry
data_KLiHgS
_space_group_name_H-M_alt 'P 1'
_space_group_IT_number 1
_cell_length_a 4.2895
_cell_length_b 4.2895
_cell_length_c 11.3100
_cell_angle_alpha 90.00
_cell_angle_beta 90.00
_cell_angle_gamma 90.00
loop_
_space_group_symop_operation_xyz
'x,y,z'
loop_
_atom_site_label
_atom_site_type_symbol
_atom_site_fract_x
_atom_site_fract_y
_atom_site_fract_z
Li1 Li 0.2500 0.7500 0.0000
Li2 Li 0.7500 0.2500 0.0000
S1 S 0.7500 0.7500 0.8832
S2 S 0.2500 0.2500 0.1168
Hg1 Hg 0.7500 0.2500 0.5000
Hg2 Hg 0.2500 0.7500 0.5000
K1 K 0.2500 0.2500 0.7841
K2 K 0.7500 0.7500 0.2159
# total DFT energy (no corrections)	-21.785	eV for the cell shown
# raw formation energy	-0.8630	eV/atom

[4]
# Cs2NaInCl6 GGA-PBE optimized geometry
data_Cs2NaInCl6
_space_group_name_H-M_alt 'P 1'
_space_group_IT_number 1
_cell_length_a 7.5953
_cell_length_b 7.5953
_cell_length_c 7.5953
_cell_angle_alpha 60.00
_cell_angle_beta 60.00
_cell_angle_gamma 60.00
loop_
_space_group_symop_operation_xyz
'x,y,z'
loop_
_atom_site_label
_atom_site_type_symbol
_atom_site_fract_x
_atom_site_fract_y
_atom_site_fract_z
Cs1 Cs 0.7500 0.7500 0.7500
Cs2 Cs 0.2500 0.2500 0.2500
Cl1 Cl 0.2379 0.2379 0.7621
Cl2 Cl 0.7621 0.7621 0.2379
Cl3 Cl 0.2379 0.7621 0.2379
Cl4 Cl 0.7621 0.2379 0.7621
Cl5 Cl 0.7621 0.2379 0.2379
Cl6 Cl 0.2379 0.7621 0.7621
In1 In 0.0000 0.0000 0.0000
Na1 Na 0.5000 0.5000 0.5000
# total DFT energy (no corrections)	-33.451	eV for the cell shown
# raw formation energy	-1.6607	eV/atom

[5]
# Be2SbP GGA-PBE optimized geometry
data_Be2SbP
_space_group_name_H-M_alt 'P 1'
_space_group_IT_number 1
_cell_length_a 3.1718
_cell_length_b 3.1718
_cell_length_c 7.0196
_cell_angle_alpha 90.00
_cell_angle_beta 90.00
_cell_angle_gamma 90.00
loop_
_space_group_symop_operation_xyz
'x,y,z'
loop_
_atom_site_label
_atom_site_type_symbol
_atom_site_fract_x
_atom_site_fract_y
_atom_site_fract_z
P1 P 0.0000 0.0000 0.3535
Be1 Be 0.5000 0.5000 0.2364
Be2 Be 0.0000 0.0000 0.0619
Sb1 Sb 0.5000 0.5000 0.8483
# energy above the most stable polymorph in this dataset	83.8	kJ/mol of formula units
# total DFT energy (no corrections)	-15.934	eV for the cell shown
# raw formation energy	0.2627	eV/atom

[6]
# CaFe2Ag GGA-PBE optimized geometry
data_CaFe2Ag
_space_group_name_H-M_alt 'P 1'
_space_group_IT_number 1
_cell_length_a 4.6378
_cell_length_b 4.6378
_cell_length_c 4.6378
_cell_angle_alpha 60.00
_cell_angle_beta 60.00
_cell_angle_gamma 60.00
loop_
_space_group_symop_operation_xyz
'x,y,z'
loop_
_atom_site_label
_atom_site_type_symbol
_atom_site_fract_x
_atom_site_fract_y
_atom_site_fract_z
Ag1 Ag 0.5000 0.5000 0.5000
Fe1 Fe 0.7500 0.7500 0.7500
Fe2 Fe 0.2500 0.2500 0.2500
Ca1 Ca 0.0000 0.0000 0.0000
# total DFT energy (no corrections)	-19.321	eV for the cell shown
# formation energy	0.614	eV/atom

[7]
# Tl2CuReO4 GGA-PBE optimized geometry
data_Tl2CuReO4
_space_group_name_H-M_alt 'P 1'
_space_group_IT_number 1
_cell_length_a 6.2233
_cell_length_b 6.2097
_cell_length_c 5.7105
_cell_angle_alpha 122.94
_cell_angle_beta 122.99
_cell_angle_gamma 90.06
loop_
_space_group_symop_operation_xyz
'x,y,z'
loop_
_atom_site_label
_atom_site_type_symbol
_atom_site_fract_x
_atom_site_fract_y
_atom_site_fract_z
Tl1 Tl 0.2355 0.2353 0.4712
Tl2 Tl 0.4856 0.9855 0.9714
Cu1 Cu 0.9868 0.4871 0.9731
O1 O 0.3948 0.7591 0.3144
O2 O 0.7131 0.5521 0.6298
O3 O 0.9170 0.0778 0.6299
O4 O 0.9184 0.5544 0.3126
Re1 Re 0.7358 0.7358 0.4715
# total DFT energy (no corrections)	-48.249	eV for the cell shown
# raw formation energy	-0.8924	eV/atom

[8]
# Li5MgTl4 GGA-PBE optimized geometry
data_Li5MgTl4
_space_group_name_H-M_alt 'P 1'
_space_group_IT_number 1
_cell_length_a 3.4348
_cell_length_b 3.4348
_cell_length_c 17.6568
_cell_angle_alpha 90.00
_cell_angle_beta 90.00
_cell_angle_gamma 90.00
loop_
_space_group_symop_operation_xyz
'x,y,z'
loop_
_atom_site_label
_atom_site_type_symbol
_atom_site_fract_x
_atom_site_fract_y
_atom_site_fract_z
Mg1 Mg 0.0000 0.0000 0.0000
Li1 Li 0.5000 0.5000 0.7037
Li2 Li 0.5000 0.5000 0.5000
Li3 Li 0.5000 0.5000 0.1008
Li4 Li 0.5000 0.5000 0.2963
Li5 Li 0.5000 0.5000 0.8992
Tl1 Tl 0.0000 0.0000 0.3978
Tl2 Tl 0.0000 0.0000 0.1940
Tl3 Tl 0.0000 0.0000 0.8060
Tl4 Tl 0.0000 0.0000 0.6022
# total DFT energy (no corrections)	-22.599	eV for the cell shown
# formation energy	-0.197	eV/atom

[9]
# Ho2PbS4 GGA-PBE optimized geometry
data_Ho2PbS4
_space_group_name_H-M_alt 'P 1'
_space_group_IT_number 1
_cell_length_a 7.9389
_cell_length_b 12.2143
_cell_length_c 14.8810
_cell_angle_alpha 90.00
_cell_angle_beta 105.47
_cell_angle_gamma 90.00
loop_
_space_group_symop_operation_xyz
'x,y,z'
loop_
_atom_site_label
_atom_site_type_symbol
_atom_site_fract_x
_atom_site_fract_y
_atom_site_fract_z
S1 S 0.5172 0.3162 0.0345
S2 S 0.1661 0.2663 0.8265
S3 S 0.7900 0.1473 0.5800
S4 S 0.6416 0.2276 0.2831
S5 S 0.2068 0.5576 0.9180
S6 S 0.7932 0.0576 0.0820
S7 S 0.4878 0.3903 0.4715
S8 S 0.8339 0.7663 0.1735
S9 S 0.4828 0.8162 0.9655
S10 S 0.3584 0.7276 0.7169
S11 S 0.8385 0.4369 0.6770
S12 S 0.3610 0.4768 0.2240
S13 S 0.1419 0.2257 0.2838
S14 S 0.6623 0.9390 0.3247
S15 S 0.3395 0.7663 0.1735
S16 S 0.6605 0.2663 0.8265
S17 S 0.7112 0.5576 0.9180
S18 S 0.0163 0.8903 0.5285
S19 S 0.1370 0.9768 0.7760
S20 S 0.8581 0.7257 0.7162
S21 S 0.9837 0.3903 0.4715
S22 S 0.2899 0.1481 0.5798
S23 S 0.3377 0.4390 0.6753
S24 S 0.7101 0.6481 0.4202
S25 S 0.8630 0.4768 0.2240
S26 S 0.6390 0.9768 0.7760
S27 S 0.9791 0.8338 0.9583
S28 S 0.0209 0.3338 0.0417
S29 S 0.5122 0.8903 0.5285
S30 S 0.1615 0.9369 0.3230
S31 S 0.2888 0.0576 0.0820
S32 S 0.2100 0.6473 0.4200
Ho1 Ho 0.6719 0.7659 0.8431
Ho2 Ho 0.0697 0.2865 0.6393
Ho3 Ho 0.9322 0.4102 0.8645
Ho4 Ho 0.3281 0.2659 0.1569
Ho5 Ho 0.9303 0.7865 0.3607
Ho6 Ho 0.1712 0.7659 0.8431
Ho7 Ho 0.5684 0.9186 0.1367
Ho8 Ho 0.5696 0.2865 0.6393
Ho9 Ho 0.0678 0.9102 0.1355
Ho10 Ho 0.4304 0.7865 0.3607
Ho11 Ho 0.6748 0.4367 0.3496
Ho12 Ho 0.3252 0.9367 0.6504
Ho13 Ho 0.4316 0.4186 0.8633
Ho14 Ho 0.8288 0.2659 0.1569
Ho15 Ho 0.8242 0.9341 0.6483
Ho16 Ho 0.1758 0.4341 0.3517
Pb1 Pb 0.0409 0.5931 0.5816
Pb2 Pb 0.9528 0.0603 0.9057
Pb3 Pb 0.9591 0.0931 0.4184
Pb4 Pb 0.5367 0.6218 0.0735
Pb5 Pb 0.4633 0.1218 0.9265
Pb6 Pb 0.0472 0.5603 0.0943
Pb7 Pb 0.5407 0.5931 0.5816
Pb8 Pb 0.4593 0.0931 0.4184
# energy above the most stable polymorph in this dataset	0.0	kJ/mol of formula units
# total DFT energy (no corrections)	-326.759	eV for the cell shown
# raw formation energy	-1.6387	eV/atom

[10]
# HoAlRe GGA-PBE optimized geometry
data_HoAlRe
_space_group_name_H-M_alt 'P 1'
_space_group_IT_number 1
_cell_length_a 4.4988
_cell_length_b 6.7861
_cell_length_c 6.7861
_cell_angle_alpha 120.00
_cell_angle_beta 90.00
_cell_angle_gamma 90.00
loop_
_space_group_symop_operation_xyz
'x,y,z'
loop_
_atom_site_label
_atom_site_type_symbol
_atom_site_fract_x
_atom_site_fract_y
_atom_site_fract_z
Al1 Al 0.5000 0.6667 0.3333
Al2 Al 0.0000 0.0000 0.0000
Al3 Al 0.5000 0.3333 0.6667
Ho1 Ho 0.0000 0.4348 0.0000
Ho2 Ho 0.0000 0.0000 0.4348
Ho3 Ho 0.0000 0.5652 0.5652
Re1 Re 0.5000 0.7823 0.0000
Re2 Re 0.5000 0.0000 0.7823
Re3 Re 0.5000 0.2177 0.2177
# energy above the most stable polymorph in this dataset	90.2	kJ/mol of formula units
# total DFT energy (no corrections)	-62.871	eV for the cell shown
# formation energy	-0.063	eV/atom

[11]
# TaAl2WAu GGA-PBE optimized geometry
data_TaAl2WAu
_space_group_name_H-M_alt 'P 1'
_space_group_IT_number 1
_cell_length_a 4.8474
_cell_length_b 4.9593
_cell_length_c 4.8474
_cell_angle_alpha 90.00
_cell_angle_beta 90.00
_cell_angle_gamma 90.00
loop_
_space_group_symop_operation_xyz
'x,y,z'
loop_
_atom_site_label
_atom_site_type_symbol
_atom_site_fract_x
_atom_site_fract_y
_atom_site_fract_z
W1 W 0.5000 0.5000 0.5000
Au1 Au 0.0000 0.5000 0.0000
Al1 Al 0.5000 0.0000 0.0000
Al2 Al 0.0000 0.0000 0.5000
Ta1 Ta 0.0000 0.0000 0.0000
# total DFT energy (no corrections)	-26.670	eV for the cell shown
# formation energy	1.780	eV/atom